First-principles (PBE) data for a relaxed KMn3Nb crystal, as listed in Alexandria via LeMat-Bulk.

VASP energy = -32.922 eV for the cell shown
E_form = 1.15 eV/atom
relative energy among the computed polymorphs = 0.0 meV/atom

Cell and atoms, written as extended XYZ:
```
5
Lattice="5.037 0.000 0.000 0.000 5.037 0.000 0.000 0.000 5.037" Properties=species:S:1:pos:R:3 pbc="T T T"
K 0.000 0.000 0.000
Mn 0.000 2.519 2.519
Mn 2.519 0.000 2.519
Mn 2.519 2.519 0.000
Nb 2.519 2.519 2.519
```